<i>
Crystalline SmPuSc at its relaxed geometry. Source: Alexandria via LeMat-Bulk, functional PBE.

Lattice parameters (Å, degrees): 3.424 3.424 8.350 90.00 90.00 120.00
Each line ends with the local moment (μB).
Atoms (fractional coordinates):
1 Sm 0.000 0.000 0.995  0.04
2 Pu 0.667 0.333 0.344  -5.52
3 Sc 0.333 0.667 0.662  0.01

Magnetization: 5.83 μB per formula unit


<ii>
Crystalline SmPuSc at its relaxed geometry. Source: Alexandria via LeMat-Bulk, functional PBE.

Lattice parameters (Å, degrees): 3.441 3.441 7.529 103.21 103.21 90.00
Each line ends with the local moment (μB).
Atoms (fractional coordinates):
1 Pu 0.957 0.957 0.914  5.54
2 Sm 0.282 0.282 0.563  -0.04
3 Sc 0.612 0.612 0.223  0.02

Magnetization: 5.94 μB per formula unit


Stability, lowest: <i>


<i>
Crystalline TbPuSc at its relaxed geometry. Source: Alexandria via LeMat-Bulk, functional PBE.

Lattice parameters (Å, degrees): 3.398 3.398 8.292 90.00 90.00 120.00
Each line ends with the local moment (μB).
Atoms (fractional coordinates):
1 Tb 0.000 0.000 0.995  0.07
2 Sc 0.333 0.667 0.663  0.06
3 Pu 0.667 0.333 0.342  -5.48

Magnetization: 5.66 μB per formula unit


<ii>
Crystalline TbPuSc at its relaxed geometry. Source: Alexandria via LeMat-Bulk, functional PBE.

Lattice parameters (Å, degrees): 3.420 3.420 7.467 103.24 103.24 90.00
Each line ends with the local moment (μB).
Atoms (fractional coordinates):
1 Pu 0.956 0.956 0.912  5.53
2 Sc 0.612 0.612 0.225  0.01
3 Tb 0.282 0.282 0.563  -0.02

Magnetization: 5.93 μB per formula unit


Stability, lowest: <i>


<i>
Crystalline PuScTc at its relaxed geometry. Source: Alexandria via LeMat-Bulk, functional PBE.

Lattice parameters (Å, degrees): 3.272 3.272 6.283 105.09 105.09 90.00
Each line ends with the local moment (μB).
Atoms (fractional coordinates):
1 Sc 0.306 0.306 0.613  0.17
2 Pu 0.025 0.025 0.049  5.10
3 Tc 0.669 0.669 0.338  -0.53

Magnetization: 5.15 μB per formula unit


<ii>
Crystalline PuScTc at its relaxed geometry. Source: Alexandria via LeMat-Bulk, functional PBE.

Lattice parameters (Å, degrees): 4.636 4.638 7.133 71.13 71.09 90.03
Each line ends with the local moment (μB).
Atoms (fractional coordinates):
1 Tc 0.534 0.474 0.850  -0.53
2 Tc 0.275 0.215 0.367  -0.53
3 Pu 0.155 0.595 0.608  5.01
4 Pu 0.654 0.095 0.609  5.01
5 Sc 0.404 0.844 0.108  0.10
6 Sc 0.904 0.344 0.108  0.09

Magnetization: 4.82 μB per formula unit


Stability, lowest: <ii>


<i>
Crystalline PuScTc2 at its relaxed geometry. Source: Alexandria via LeMat-Bulk, functional PBE.

Lattice parameters (Å, degrees): 4.645 4.645 4.645 60.00 60.00 60.00
Each line ends with the local moment (μB).
Atoms (fractional coordinates):
1 Tc 0.750 0.750 0.750  -0.49
2 Tc 0.250 0.250 0.250  -0.49
3 Pu 0.500 0.500 0.500  4.49
4 Sc 0.000 0.000 0.000  -0.04

Magnetization: 3.49 μB per formula unit


<ii>
Crystalline PuScTc2 at its relaxed geometry. Source: Alexandria via LeMat-Bulk, functional PBE.

Lattice parameters (Å, degrees): 3.304 3.304 6.564 90.00 90.00 90.00
Each line ends with the local moment (μB).
Atoms (fractional coordinates):
1 Pu 0.500 0.500 0.000  4.25
2 Tc 0.000 0.000 0.237  -0.55
3 Tc 0.000 0.000 0.763  -0.55
4 Sc 0.500 0.500 0.500  0.03

Magnetization: 3.23 μB per formula unit


Stability, lowest: <ii>


<i>
Crystalline Pu2Th2Sc7 at its relaxed geometry. Source: Alexandria via LeMat-Bulk, functional PBE.

Lattice parameters (Å, degrees): 3.423 9.725 9.725 68.23 78.78 78.78
Each line ends with the local moment (μB).
Atoms (fractional coordinates):
1 Sc 0.835 0.431 0.903  0.15
2 Sc 0.569 0.395 0.395  0.34
3 Sc 0.431 0.605 0.605  0.34
4 Sc 0.165 0.569 0.097  0.15
5 Sc 0.000 0.000 0.000  0.20
6 Sc 0.835 0.903 0.431  0.15
7 Sc 0.165 0.097 0.569  0.15
8 Th 0.295 0.190 0.190  0.00
9 Th 0.705 0.810 0.810  0.00
10 Pu 0.500 0.756 0.244  5.63
11 Pu 0.500 0.244 0.756  5.63

Magnetization: 14.42 μB per formula unit


<ii>
Crystalline Pu2Th2Sc7 at its relaxed geometry. Source: Alexandria via LeMat-Bulk, functional PBE.

Lattice parameters (Å, degrees): 5.597 7.440 7.440 90.96 75.06 75.06
Each line ends with the local moment (μB).
Atoms (fractional coordinates):
1 Sc 0.584 0.806 0.806  0.10
2 Sc 0.175 0.588 0.071  0.10
3 Sc 0.416 0.194 0.194  0.10
4 Sc 0.000 0.000 0.000  0.08
5 Sc 0.825 0.412 0.929  0.10
6 Sc 0.825 0.929 0.412  0.10
7 Sc 0.175 0.071 0.588  0.10
8 Th 0.799 0.396 0.396  0.04
9 Th 0.201 0.604 0.604  0.04
10 Pu 0.500 0.757 0.243  5.44
11 Pu 0.500 0.243 0.757  5.44

Magnetization: 12.63 μB per formula unit


Stability, lowest: <ii>


<i>
Crystalline Pu2ThSc4 at its relaxed geometry. Source: Alexandria via LeMat-Bulk, functional PBE.

Lattice parameters (Å, degrees): 7.960 7.947 6.569 129.37 129.40 89.85
Each line ends with the local moment (μB).
Atoms (fractional coordinates):
1 Sc 0.309 0.691 0.000  0.14
2 Sc 0.691 0.309 0.000  0.14
3 Sc 0.696 0.697 0.004  0.14
4 Sc 0.304 0.303 0.996  0.14
5 Pu 0.266 0.733 0.500  5.46
6 Pu 0.734 0.267 0.500  5.46
7 Th 0.000 0.000 0.000  -0.07

Magnetization: 12.40 μB per formula unit


<ii>
Crystalline Pu2ThSc4 at its relaxed geometry. Source: Alexandria via LeMat-Bulk, functional PBE.

Lattice parameters (Å, degrees): 3.522 5.850 9.330 99.57 112.17 72.46
Atoms (fractional coordinates):
1 Sc 0.140 0.093 0.686
2 Sc 0.860 0.907 0.314
3 Sc 0.569 0.541 0.839
4 Sc 0.431 0.459 0.161
5 Pu 0.726 0.623 0.537
6 Pu 0.274 0.377 0.463
7 Th 0.000 0.000 0.000

Magnetization: 0.00 μB per formula unit


Stability, lowest: <i>